Model a:
## NdSnBi (PBE-GGA)

Data for a geometry-optimized NdSnBi structure.

Cell: 5.3689 5.3689 3.7062 Å, 90.00 90.00 120.00°
Atoms (fractional coordinates):
Nd 0.0000 0.0000 0.0000
Sn 0.3333 0.6667 0.4746
Bi 0.6667 0.3333 0.5121

Properties
* space-group type: P3m1 (156)

***

Model b:
## NdSnBi (PBE-GGA)

Data for a geometry-optimized NdSnBi structure.

Cell: 8.9024 8.9024 4.5069 Å, 90.00 90.00 149.70°
Atoms (fractional coordinates):
Nd 0.0999 0.9001 0.7500
Nd 0.9001 0.0999 0.2500
Sn 0.4422 0.5578 0.7500
Sn 0.5578 0.4422 0.2500
Bi 0.2506 0.7494 0.2500
Bi 0.7494 0.2506 0.7500

Properties
* space-group type: Cmcm (63)

***

Short version: model b is the most stable of them.

***

Model a:
## SrNdBi2 (PBE-GGA)

Data for a geometry-optimized SrNdBi2 structure.

Cell: 8.0694 8.0694 8.0694 Å, 35.07 35.07 35.07°
Atoms (fractional coordinates):
Sr 0.0000 0.0000 0.0000
Nd 0.8265 0.8265 0.8265
Bi 0.4204 0.4204 0.4204
Bi 0.5743 0.5743 0.5743

Properties
* space-group type: R3m (160)

***

Model b:
## SrNdBi2 (PBE-GGA)

Data for a geometry-optimized SrNdBi2 structure.

Cell: 6.0909 6.0909 3.5643 Å, 90.00 90.00 90.00°
Atoms (fractional coordinates):
Sr 0.0000 0.0000 0.0000
Nd 0.5000 0.5000 0.0000
Bi 0.0000 0.5000 0.5000
Bi 0.5000 0.0000 0.5000

Properties
* space-group type: P4/mmm (123)

***

Short version: model b is the most stable of them.

***

Model a:
## SrNdBi2 (PBE-GGA)

Data for a geometry-optimized SrNdBi2 structure.

Cell: 4.2663 4.2663 7.3403 Å, 90.00 90.00 90.00°
Atoms (fractional coordinates):
Sr 0.0000 0.0000 0.0000
Nd 0.0000 0.0000 0.5000
Bi 0.5000 0.5000 0.2672
Bi 0.5000 0.5000 0.7328

Properties
* space-group type: P4/mmm (123)

***

Model b:
## SrNdBi2 (PBE-GGA)

Data for a geometry-optimized SrNdBi2 structure.

Cell: 5.7531 5.7531 5.7531 Å, 60.00 60.00 60.00°
Atoms (fractional coordinates):
Sr 0.0000 0.0000 0.0000
Nd 0.5000 0.5000 0.5000
Bi 0.2500 0.2500 0.2500
Bi 0.7500 0.7500 0.7500

Properties
* space-group type: Fm-3m (225)

***

Short version: model a is the most stable of them.

***

Model a:
## TbNd3Bi3 (PBE-GGA)

Data for a geometry-optimized TbNd3Bi3 structure.

Cell: 9.6333 9.6333 9.6333 Å, 90.00 90.00 90.00°
Atoms (fractional coordinates):
Tb 0.0730 0.4270 0.5730
Tb 0.4270 0.5730 0.0730
Tb 0.5730 0.0730 0.4270
Tb 0.9270 0.9270 0.9270
Nd 0.0681 0.5681 0.9319
Nd 0.1767 0.1767 0.1767
Nd 0.1782 0.8218 0.3218
Nd 0.3218 0.1782 0.8218
Nd 0.3233 0.8233 0.6767
Nd 0.4319 0.4319 0.4319
Nd 0.5681 0.9319 0.0681
Nd 0.6767 0.3233 0.8233
Nd 0.6782 0.6782 0.6782
Nd 0.8218 0.3218 0.1782
Nd 0.8233 0.6767 0.3233
Nd 0.9319 0.0681 0.5681
Bi 0.0016 0.7448 0.6279
Bi 0.1279 0.4984 0.2552
Bi 0.2448 0.8721 0.9984
Bi 0.2552 0.1279 0.4984
Bi 0.3721 0.5016 0.7552
Bi 0.4984 0.2552 0.1279
Bi 0.5016 0.7552 0.3721
Bi 0.6279 0.0016 0.7448
Bi 0.7448 0.6279 0.0016
Bi 0.7552 0.3721 0.5016
Bi 0.8721 0.9984 0.2448
Bi 0.9984 0.2448 0.8721

Properties
* space-group type: P2_13 (198)

***

Model b:
## TbNd3Bi3 (PBE-GGA)

Data for a geometry-optimized TbNd3Bi3 structure.

Cell: 8.4066 8.4066 8.4066 Å, 67.61 67.61 67.61°
Atoms (fractional coordinates):
Tb 0.1672 0.1672 0.1672
Tb 0.8328 0.8328 0.8328
Nd 0.1568 0.4114 0.6768
Nd 0.3232 0.8432 0.5886
Nd 0.4114 0.6768 0.1568
Nd 0.5886 0.3232 0.8432
Nd 0.6768 0.1568 0.4114
Nd 0.8432 0.5886 0.3232
Bi 0.0275 0.8076 0.4226
Bi 0.1924 0.5774 0.9725
Bi 0.4226 0.0275 0.8076
Bi 0.5774 0.9725 0.1924
Bi 0.8076 0.4226 0.0275
Bi 0.9725 0.1924 0.5774

Properties
* space-group type: R-3 (148)

***

Short version: model a is the most stable of them.